DFT (meta-GGA SCAN) results for a PBEsol-optimized structure of MnNb3Ru.

Summary:
DFT formation energy, eV per formula unit: 4.6
E, eV/atom: -29.58

abc: 4.4635 4.4635 4.4635
angles: 90.00 90.00 90.00
Last column: nearest neighbours and their distance in Å.
Element x y z (fractional)
Mn1 0.0000 0.0000 0.0000  6 Nb 2.23
Nb1 0.0000 0.0000 0.5000  2 Mn 2.23
Nb2 0.0000 0.5000 0.0000  2 Mn 2.23
Nb3 0.5000 0.0000 0.0000  2 Mn 2.23
Ru1 0.5000 0.5000 0.5000  12 Nb 3.16